1.
Be2CuBr: optimized geometry, PBE-GGA.

```
Be2CuBr
1.0
-0.074 3.154 0.097
-0.148 -1.707 2.651
7.114 0.153 0.494
Be Cu Br
2 1 1
direct
0.000 0.000 0.979 Be
0.000 0.000 0.521 Be
0.500 0.500 0.750 Cu
0.500 0.500 0.250 Br
```

Summary:
Its total magnetization is 0.00 μB/f.u. The formation energy (no corrections) is 0.628 eV per atom.

=====

2.
Dy4YEr2: optimized geometry, PBE-GGA.

```
Dy4YEr2
1.0
-9.019 -2.769 -3.760
2.645 -7.834 2.649
-2.172 7.254 3.370
Dy Y Er
8 2 4
direct
0.920 0.259 0.248 Dy
0.411 0.647 0.164 Dy
0.828 0.416 0.679 Dy
0.691 0.131 0.791 Dy
0.189 0.784 0.936 Dy
0.340 0.033 0.764 Dy
0.562 0.896 0.997 Dy
0.059 0.547 0.136 Dy
0.985 0.916 0.704 Y
0.279 0.418 0.359 Y
0.472 0.263 0.574 Er
0.763 0.761 0.221 Er
0.635 0.510 0.394 Er
0.115 0.168 0.534 Er
```

Summary:
Its total magnetization is 0.00 μB/f.u. The calculation puts the energy relative to the elements at 0.5 eV/f.u.

=====

3.
Ca2RhAu: optimized geometry, PBE-GGA.

```
Ca2RhAu
1.0
6.097 0.122 0.139
3.110 5.246 -0.139
-4.246 -3.297 2.883
Rh Ca Au
1 2 1
direct
0.483 0.483 0.000 Rh
0.014 0.014 0.000 Ca
0.725 0.225 0.500 Ca
0.278 0.778 0.500 Au
```

Summary:
Its total magnetization is 0.00 μB/f.u. The calculation puts the energy relative to the elements at -1.8 eV/f.u.

=====

4.
AgTe2NCl: optimized geometry, PBE-GGA.

```
AgTe2NCl
1.0
5.704 0.000 0.000
0.000 5.704 0.000
0.000 0.000 3.924
N Te Ag Cl
1 2 1 1
direct
0.000 0.000 0.500 N
0.000 0.500 0.000 Te
0.500 0.000 0.000 Te
0.000 0.000 0.000 Ag
0.500 0.500 0.500 Cl
```

Summary:
Its total magnetization is 2.17 μB/f.u. The formation energy (no corrections) is 1.122 eV per atom.

=====

5.
NaDyHo2Tl4: optimized geometry, PBE-GGA.

```
NaDyHo2Tl4
1.0
5.314 0.000 0.000
2.657 4.602 0.000
2.657 1.534 8.808
Na Dy Ho Tl
1 1 2 4
direct
0.500 0.500 0.500 Na
0.000 0.000 0.000 Dy
0.753 0.753 0.740 Ho
0.247 0.247 0.260 Ho
0.376 0.376 0.873 Tl
0.875 0.875 0.376 Tl
0.125 0.125 0.624 Tl
0.624 0.624 0.127 Tl
```

Summary:
Its total magnetization is 0.00 μB/f.u. The calculation puts the energy relative to the elements at -2.2 eV/f.u.

=====

6.
AcPuZn2: optimized geometry, PBE-GGA.

```
AcPuZn2
1.0
5.318 0.000 0.000
2.659 4.606 0.000
2.659 1.535 4.342
Ac Zn Pu
1 2 1
direct
0.500 0.500 0.500 Ac
0.250 0.250 0.250 Zn
0.750 0.750 0.750 Zn
0.000 0.000 0.000 Pu
```

Summary:
Its total magnetization is 6.16 μB/f.u. The calculation puts the energy relative to the elements at -0.3 eV/f.u.

=====

7.
Ti8Ni2Rh: optimized geometry, PBE-GGA.

```
Ti8Ni2Rh
1.0
-2.081 -3.871 1.384
3.619 -2.263 -5.445
3.378 1.867 5.741
Ti Ni Rh
8 2 1
direct
0.899 0.897 0.666 Ti
0.899 0.666 0.897 Ti
0.310 0.613 0.613 Ti
0.500 0.785 0.215 Ti
0.500 0.215 0.785 Ti
0.690 0.387 0.387 Ti
0.101 0.334 0.103 Ti
0.101 0.103 0.334 Ti
0.000 0.298 0.702 Ni
0.000 0.702 0.298 Ni
0.500 0.000 0.000 Rh
```

Summary:
Its total magnetization is 0.00 μB/f.u. The calculation puts the energy relative to the elements at -1.8 eV/f.u.

=====

8.
Sn2Pb: optimized geometry, PBE-GGA.

```
Sn2Pb
1.0
-2.359 -0.347 2.470
0.798 -3.326 0.295
5.876 3.512 3.719
Pb Sn
1 2
direct
0.000 0.000 0.000 Pb
0.672 0.672 0.344 Sn
0.328 0.328 0.656 Sn
```

Summary:
Its total magnetization is 0.00 μB/f.u. The calculation puts the energy relative to the elements at 0.1 eV/f.u.